No. 1
This record from the Alexandria database describes Tl2HgH2 after structural relaxation. The functional is PBE.

theoretical density = 7.703 g/cm³
polymorph energy (0 for the lowest one) = 0.0 meV/atom
crystal system = monoclinic
total DFT energy (no corrections) = -2.31 eV per atom

Lattice parameters (Å, degrees): 3.333 3.333 12.895 90.84 90.84 113.02
Fractional positions:
Tl 0.020 0.020 0.215
Tl 0.980 0.980 0.785
Hg 0.500 0.500 0.000
H 0.495 0.495 0.529
H 0.505 0.505 0.471

=====

No. 2
This record from the Alexandria database describes RbTlBr2F after structural relaxation. The functional is PBE.

theoretical density = 4.748 g/cm³
ΔE_f (raw) = -1412.8 meV per atom
crystal system = tetragonal
total DFT energy (no corrections) = -3.12 eV per atom

Lattice parameters (Å, degrees): 5.892 5.892 4.722 90.00 90.00 90.00
Fractional positions:
Rb 0.000 0.000 0.000
Tl 0.500 0.500 0.500
Br 0.000 0.500 0.500
Br 0.500 0.000 0.500
F 0.500 0.500 0.000

=====

No. 3
This record from the Alexandria database describes NaGa3Rh after structural relaxation. The functional is PBE.

theoretical density = 5.398 g/cm³
polymorph energy (0 for the lowest one) = 0.0 meV/atom
crystal system = triclinic
total DFT energy (no corrections) = -3.86 eV per atom

Lattice parameters (Å, degrees): 6.048 6.502 6.946 93.76 115.78 117.32
Fractional positions:
Na 0.000 0.000 0.000
Na 0.457 0.397 0.542
Ga 0.060 0.548 0.040
Ga 0.417 0.863 0.532
Ga 0.525 0.559 0.049
Ga 0.551 0.074 0.032
Ga 0.859 0.205 0.537
Ga 0.957 0.859 0.531
Rh 0.213 0.661 0.777
Rh 0.884 0.485 0.290

=====

Q: The highest theoretical density belongs to which entry?
A: Tl2HgH2

=====

Q: total DFT energy (no corrections) of number 2 (RbTlBr2F)?
A: -3.12 eV per atom

=====

Q: Which value of total DFT energy (no corrections) does entry 1 give?
A: -2.31 eV per atom